Entry 1:
This record from Alexandria describes a relaxed structure of PuTl2Au. The functional is GGA-PBE.

Properties
Electronic total energy   -45.960 eV/cell
Space group   I4/mmm (139)
Energy of formation from the pure elements   -0.159 eV/atom
Energy relative to the lowest polymorph listed for this composition   0 meV/atom

a b c (Å): 9.148 9.148 9.148
angles (deg): 148.81 148.81 44.69
Fractional coordinates of all 8 atoms:
Pu  0.139  0.139  0.000
Pu  0.861  0.861  0.000
Tl  0.000  0.500  0.500
Tl  0.362  0.362  0.000
Tl  0.500  0.000  0.500
Tl  0.638  0.638  0.000
Au  0.250  0.750  0.500
Au  0.750  0.250  0.500

***

Entry 2:
This record from Alexandria describes a relaxed structure of Pu6Tl3Au. The functional is GGA-PBE.

Properties
Electronic total energy   -89.750 eV/cell
Space group   Fm-3m (225)
Energy of formation from the pure elements   0.662 eV/atom

a b c (Å): 8.166 8.166 8.166
angles (deg): 60.00 60.00 60.00
Fractional coordinates of all 10 atoms:
Pu  0.244  0.244  0.756
Pu  0.244  0.756  0.244
Pu  0.244  0.756  0.756
Pu  0.756  0.244  0.244
Pu  0.756  0.244  0.756
Pu  0.756  0.756  0.244
Tl  0.250  0.250  0.250
Tl  0.500  0.500  0.500
Tl  0.750  0.750  0.750
Au  0.000  0.000  0.000